Record 1
Computed, not measured: NdReMoO8 at its PBEsol-relaxed geometry at the SCAN level of DFT.

Output
Size of the total moment in μB/f.u.: 0.0
Formation energy without anion corrections in eV/atom: -2.408
Crystal system: monoclinic
Density of states at the Fermi level in states/eV per cell: 0.00

abc: 6.2069 9.8841 13.0873
angles: 90.00 111.32 90.00
Atoms (fractional coordinates):
1 Nd 0.1838 0.2381 0.3761
2 Nd 0.1838 0.2619 0.8761
3 Nd 0.8162 0.7381 0.1239
4 Nd 0.8162 0.7619 0.6239
5 Re 0.3698 0.0092 0.1536
6 Re 0.3698 0.4908 0.6536
7 Re 0.6302 0.5092 0.3464
8 Re 0.6302 0.9908 0.8464
9 Mo 0.1538 0.6629 0.9204
10 Mo 0.1538 0.8371 0.4204
11 Mo 0.8462 0.1629 0.5796
12 Mo 0.8462 0.3371 0.0796
13 O 0.0487 0.1773 0.5148
14 O 0.0487 0.3227 0.0148
15 O 0.0748 0.7255 0.3075
16 O 0.0748 0.7745 0.8075
17 O 0.1489 0.6026 0.6489
18 O 0.1489 0.8974 0.1489
19 O 0.1573 0.0029 0.3727
20 O 0.1573 0.4971 0.8727
21 O 0.3060 0.0793 0.0238
22 O 0.3060 0.4207 0.5238
23 O 0.3666 0.0779 0.8076
24 O 0.3666 0.4221 0.3076
25 O 0.3921 0.1361 0.2488
26 O 0.3921 0.3639 0.7488
27 O 0.4286 0.7076 0.0143
28 O 0.4286 0.7924 0.5143
29 O 0.5714 0.2076 0.4857
30 O 0.5714 0.2924 0.9857
31 O 0.6079 0.6361 0.2512
32 O 0.6079 0.8639 0.7512
33 O 0.6334 0.5779 0.6924
34 O 0.6334 0.9221 0.1924
35 O 0.6940 0.5793 0.4762
36 O 0.6940 0.9207 0.9762
37 O 0.8427 0.5029 0.1273
38 O 0.8427 0.9971 0.6273
39 O 0.8511 0.1026 0.8511
40 O 0.8511 0.3974 0.3511
41 O 0.9252 0.2255 0.1925
42 O 0.9252 0.2745 0.6925
43 O 0.9513 0.6773 0.9852
44 O 0.9513 0.8227 0.4852

***

Record 2
Computed, not measured: NdY3Mo8O30 at its PBEsol-relaxed geometry at the SCAN level of DFT.

Output
Size of the total moment in μB/f.u.: 0.0
Formation energy without anion corrections in eV/atom: -2.621
Crystal system: triclinic
Density of states at the Fermi level in states/eV per cell: 0.00

abc: 6.7789 9.6352 10.6438
angles: 90.06 105.35 90.21
Atoms (fractional coordinates):
1 Nd 0.0000 0.0000 0.0000
2 Y 0.0087 0.4517 0.5018
3 Y 0.4237 0.4992 0.0530
4 Y 0.4288 0.9538 0.5515
5 Mo 0.1323 0.7189 0.2671
6 Mo 0.1429 0.7283 0.7638
7 Mo 0.3014 0.2343 0.2910
8 Mo 0.3028 0.2223 0.7854
9 Mo 0.5968 0.8774 0.1274
10 Mo 0.6021 0.5733 0.6196
11 Mo 0.8307 0.3874 0.9322
12 Mo 0.8366 0.0722 0.4347
13 O 0.9996 0.6240 0.3594
14 O 0.0029 0.8189 0.8538
15 O 0.0904 0.4252 0.9605
16 O 0.0950 0.0314 0.4634
17 O 0.0966 0.1460 0.1852
18 O 0.1018 0.3105 0.6767
19 O 0.2002 0.1066 0.8776
20 O 0.2024 0.3497 0.3855
21 O 0.2380 0.6056 0.1741
22 O 0.2502 0.8452 0.6743
23 O 0.3289 0.8120 0.3762
24 O 0.3388 0.6387 0.8756
25 O 0.3398 0.9183 0.1058
26 O 0.3434 0.5343 0.5947
27 O 0.4333 0.3254 0.1950
28 O 0.4392 0.1299 0.6934
29 O 0.4642 0.3454 0.8912
30 O 0.4667 0.1119 0.3937
31 O 0.5977 0.6969 0.1326
32 O 0.6091 0.7540 0.6207
33 O 0.6509 0.9439 0.9875
34 O 0.6676 0.5005 0.4858
35 O 0.7184 0.4840 0.7778
36 O 0.7194 0.9746 0.2811
37 O 0.7646 0.4536 0.0683
38 O 0.7687 0.0080 0.5710
39 O 0.8223 0.2068 0.9241
40 O 0.8333 0.2527 0.4252
41 O 0.9588 0.8362 0.1634
42 O 0.9737 0.6094 0.6578

***

Record 3
Computed, not measured: NdMo6Se8 at its PBEsol-relaxed geometry at the SCAN level of DFT.

Output
Size of the total moment in μB/f.u.: 0.0
Formation energy without anion corrections in eV/atom: -0.804
Crystal system: trigonal
Density of states at the Fermi level in states/eV per cell: 6.74

abc: 6.6955 6.6955 6.6955
angles: 88.43 88.43 88.43
Atoms (fractional coordinates):
1 Nd 0.0000 0.0000 0.0000
2 Mo 0.2334 0.5616 0.4231
3 Mo 0.4231 0.2334 0.5616
4 Mo 0.4384 0.5769 0.7666
5 Mo 0.5616 0.4231 0.2334
6 Mo 0.5769 0.7666 0.4384
7 Mo 0.7666 0.4384 0.5769
8 Se 0.1205 0.3766 0.7580
9 Se 0.2408 0.2408 0.2408
10 Se 0.2420 0.8795 0.6234
11 Se 0.3766 0.7580 0.1205
12 Se 0.6234 0.2420 0.8795
13 Se 0.7580 0.1205 0.3766
14 Se 0.7592 0.7592 0.7592
15 Se 0.8795 0.6234 0.2420

***

Record 4
Computed, not measured: Ni5Mo at its PBEsol-relaxed geometry at the SCAN level of DFT.

Output
Calculated formation energy in meV per atom: 75
Size of the total moment in μB/f.u.: 2.4
Crystal system: orthorhombic
Density of states at the Fermi level in states/eV per cell: 7.32

abc: 4.0665 6.6139 6.6139
angles: 22.07 90.00 90.00
Atoms (fractional coordinates):
1 Ni 0.0000 0.0000 0.0000
2 Ni 0.0000 0.3250 0.3250
3 Ni 0.0000 0.6606 0.6606
4 Ni 0.5000 0.1070 0.1070
5 Ni 0.5000 0.7677 0.7677
6 Mo 0.5000 0.4359 0.4359

***

Record 5
Computed, not measured: Ni2Mo at its PBEsol-relaxed geometry at the SCAN level of DFT.

Output
Calculated formation energy in meV per atom: -36
Size of the total moment in μB/f.u.: 0.0
Crystal system: orthorhombic
Density of states at the Fermi level in states/eV per cell: 2.04

abc: 4.4062 4.4062 4.4062
angles: 145.90 131.52 60.59
Atoms (fractional coordinates):
1 Ni 0.1692 0.1692 0.0000
2 Ni 0.8308 0.8308 0.0000
3 Mo 0.5000 0.5000 0.0000

***

Record 6
Computed, not measured: Ni2Mo at its PBEsol-relaxed geometry at the SCAN level of DFT.

Output
Calculated formation energy in meV per atom: -11
Size of the total moment in μB/f.u.: 0.0
Crystal system: hexagonal
Density of states at the Fermi level in states/eV per cell: 2.36

abc: 4.0485 4.0485 2.4996
angles: 90.00 90.00 120.00
Atoms (fractional coordinates):
1 Ni 0.3333 0.6667 0.0000
2 Ni 0.6667 0.3333 0.0000
3 Mo 0.0000 0.0000 0.5000

***

Question: Look up the density of states at the Fermi level of the fifth one.
Answer: 2.04 states/eV per cell

***

Question: What is the density of states at the Fermi level in the third record?
Answer: 6.74 states/eV per cell